Hf2Be17 | PBE-GGA | relaxed

abc: 7.4760 7.4760 7.2764
angles: 90.00 90.00 120.00
Closest atoms and distances in Å follow each position.
Atoms (fractional coordinates):
Hf  0.0000  0.0000  0.2500  18 Be 2.67-2.87
Hf  0.0000  0.0000  0.7500  18 Be 2.67-2.87
Hf  0.3333  0.6667  0.7500  20 Be 2.59-2.82
Hf  0.6667  0.3333  0.2500  20 Be 2.59-2.82
Be  0.3333  0.6667  0.3936  4 Be 2.09-2.29
Be  0.6667  0.3333  0.6064  4 Be 2.09-2.29
Be  0.6667  0.3333  0.8936  4 Be 2.09-2.29
Be  0.3333  0.6667  0.1064  4 Be 2.09-2.29
Be  0.5000  0.5000  0.5000  10 Be 2.14-2.29
Be  0.5000  0.0000  0.5000  10 Be 2.14-2.29
Be  0.0000  0.5000  0.5000  10 Be 2.14-2.29
Be  0.5000  0.5000  0.0000  10 Be 2.14-2.29
Be  0.5000  0.0000  0.0000  10 Be 2.14-2.29
Be  0.0000  0.5000  0.0000  10 Be 2.14-2.29
Be  0.3317  0.3783  0.2500  8 Be 2.13-2.35
Be  0.6217  0.9534  0.2500  8 Be 2.13-2.35
Be  0.0466  0.6683  0.2500  8 Be 2.13-2.35
Be  0.6217  0.6683  0.2500  8 Be 2.13-2.35
Be  0.0466  0.3783  0.2500  8 Be 2.13-2.35
Be  0.3317  0.9534  0.2500  8 Be 2.13-2.35
Be  0.6683  0.6217  0.7500  8 Be 2.13-2.35
Be  0.3783  0.0466  0.7500  8 Be 2.13-2.35
Be  0.9534  0.3317  0.7500  8 Be 2.13-2.35
Be  0.3783  0.3317  0.7500  8 Be 2.13-2.35
Be  0.9534  0.6217  0.7500  8 Be 2.13-2.35
Be  0.6683  0.0466  0.7500  8 Be 2.13-2.35
Be  0.1652  0.8348  0.5129  9 Be 2.15-2.35
Be  0.1652  0.3303  0.5129  9 Be 2.15-2.35
Be  0.6697  0.8348  0.5129  9 Be 2.15-2.35
Be  0.8348  0.1652  0.4871  9 Be 2.15-2.35
Be  0.8348  0.6697  0.4871  9 Be 2.15-2.35
Be  0.3303  0.1652  0.4871  9 Be 2.15-2.35
Be  0.8348  0.1652  0.0129  9 Be 2.15-2.35
Be  0.8348  0.6697  0.0129  9 Be 2.15-2.35
Be  0.3303  0.1652  0.0129  9 Be 2.15-2.35
Be  0.1652  0.8348  0.9871  9 Be 2.15-2.35
Be  0.1652  0.3303  0.9871  9 Be 2.15-2.35
Be  0.6697  0.8348  0.9871  9 Be 2.15-2.35

Output
symmetry	P6_3/mmc, No. 194
DOS at the Fermi energy	0.153	states/eV per atom

---

HfBe | PBE-GGA | relaxed

abc: 6.8368 6.8368 6.8368
angles: 90.00 90.00 90.00
Closest atoms and distances in Å follow each position.
Atoms (fractional coordinates):
Hf  0.2500  0.5000  0.0000  4 Be 2.42
Hf  0.7500  0.5000  0.0000  4 Be 2.42
Hf  0.5000  0.0000  0.2500  4 Be 2.42
Hf  0.5000  0.0000  0.7500  4 Be 2.42
Hf  0.0000  0.2500  0.5000  4 Be 2.42
Hf  0.0000  0.7500  0.5000  4 Be 2.42
Be  0.2500  0.0000  0.5000  4 Hf 2.42
Be  0.7500  0.0000  0.5000  4 Hf 2.42
Be  0.0000  0.5000  0.2500  4 Hf 2.42
Be  0.0000  0.5000  0.7500  4 Hf 2.42
Be  0.5000  0.2500  0.0000  4 Hf 2.42
Be  0.5000  0.7500  0.0000  4 Hf 2.42

Output
symmetry	Pm-3n, No. 223
DOS at the Fermi energy	1.484	states/eV per atom

---

| no. | formation enthalpy at 0 K (meV per atom) |
| --- | --- |
| 1 | -237 |
| 2 | 1649 |